An optimized crystal structure of Rb3Mn2GeCl9. Source: Alexandria, functional PBE.

CIF file:
```
data_Rb3Mn2GeCl9
_cell_length_a 7.2919
_cell_length_b 7.2919
_cell_length_c 8.9378
_cell_angle_alpha 90.00
_cell_angle_beta 90.00
_cell_angle_gamma 120.00
_space_group_name_H-M_alt 'P -3 m 1'
_space_group_IT_number 164
_space_group_name_Hall '-P 3 2"'
loop_
_atom_site_label
_atom_site_type_symbol
_atom_site_fract_x
_atom_site_fract_y
_atom_site_fract_z
Rb1 Rb 0.0000 0.0000 0.0000
Rb2 Rb 0.3333 0.6667 0.6679
Mn1 Mn 0.3333 0.6667 0.1616
Ge1 Ge 0.0000 0.0000 0.5000
Cl1 Cl 0.0000 0.5000 0.0000
Cl2 Cl 0.1712 0.3423 0.3267
```

## Properties
E_tot ... -4.230 eV per atom
E_form (uncorrected) ... -1.3979 eV/atom